The following is a PBE calculation of a relaxed TbCeMgMn crystal, from the Alexandria database.

CIF file:
```
data_TbCeMgMn
_space_group_name_H-M_alt 'F -4 3 m'
_space_group_IT_number 216
_space_group_name_Hall 'F -4 2 3'
_cell_length_a 7.338
_cell_length_b 7.338
_cell_length_c 7.338
_cell_angle_alpha 90.00
_cell_angle_beta 90.00
_cell_angle_gamma 90.00
loop_
_atom_site_label
_atom_site_type_symbol
_atom_site_fract_x
_atom_site_fract_y
_atom_site_fract_z
_atom_site_occupancy
Tb1 Tb 0.000 0.000 0.000 1
Ce1 Ce 0.000 0.000 0.500 1
Mg1 Mg 0.250 0.250 0.750 1
Mn1 Mn 0.250 0.250 0.250 1
```

DFT total energy in eV per atom: -5.18
Size of the total moment in μB per cell: 8.3